Compound: Ac2ScInS6
Source: Alexandria
Functional: PBE
Structure: relaxed

Computed properties:
space-group type	P2_1/c

```
Ac2ScInS6
1.0
6.773 0.000 0.000
0.000 7.386 0.000
-6.700 0.000 9.800
Ac Sc In S
4 2 2 12
direct
0.216 0.093 0.248
0.216 0.407 0.748
0.784 0.593 0.252
0.784 0.907 0.752
0.500 0.000 0.000
0.500 0.500 0.500
0.000 0.000 0.500
0.000 0.500 0.000
0.136 0.186 0.947
0.136 0.314 0.447
0.264 0.692 0.945
0.264 0.808 0.445
0.363 0.025 0.752
0.363 0.475 0.252
0.637 0.525 0.748
0.637 0.975 0.248
0.736 0.192 0.555
0.736 0.308 0.055
0.864 0.686 0.553
0.864 0.814 0.053
```

Compound: InGaI2N
Source: Alexandria
Functional: PBE
Structure: relaxed

Computed properties:
space-group type	P4/mmm
excess energy over the best structure of this formula in the dataset	175	meV/atom

```
InGaI2N
1.0
6.057 0.000 0.000
0.000 6.057 0.000
0.000 0.000 4.284
In Ga I N
1 1 2 1
direct
0.000 0.000 0.000
0.500 0.500 0.500
0.000 0.500 0.000
0.500 0.000 0.000
0.000 0.000 0.500
```

no.,theoretical density (Mg/m³),DFT total energy (eV/f.u.)
1,5.46,-59.33
2,4.78,-15.07